Record 1
First-principles (meta-GGA SCAN) data for a crystal of Cs3FeS3 relaxed with PBEsol, as listed in Alexandria.

```
Cs3FeS3
1.0
9.424 -3.678 0.000
9.424 3.678 0.000
0.000 0.000 13.104
Cs Fe S
12 4 12
Direct
0.017 0.337 0.877 Cs
0.115 0.885 0.811 Cs
0.163 0.483 0.623 Cs
0.337 0.017 0.123 Cs
0.385 0.615 0.311 Cs
0.483 0.163 0.377 Cs
0.517 0.837 0.623 Cs
0.615 0.385 0.689 Cs
0.663 0.983 0.877 Cs
0.837 0.517 0.377 Cs
0.885 0.115 0.189 Cs
0.983 0.663 0.123 Cs
0.073 0.073 0.500 Fe
0.427 0.427 0.000 Fe
0.573 0.573 0.000 Fe
0.927 0.927 0.500 Fe
0.014 0.266 0.620 S
0.216 0.784 0.557 S
0.234 0.486 0.880 S
0.266 0.014 0.380 S
0.284 0.716 0.057 S
0.486 0.234 0.120 S
0.514 0.766 0.880 S
0.716 0.284 0.943 S
0.734 0.986 0.620 S
0.766 0.514 0.120 S
0.784 0.216 0.443 S
0.986 0.734 0.380 S
```

- Electronic total energy: -24.0638 eV per atom
- Space-group type: No. 64
- DOS(E_F): 10.7 states/eV/cell


Record 2
First-principles (meta-GGA SCAN) data for a crystal of CsFeSb2Te relaxed with PBEsol, as listed in Alexandria.

```
CsFeSb2Te
1.0
5.108 0.000 0.000
0.000 5.108 0.000
0.000 0.000 5.514
Cs Fe Sb Te
1 1 2 1
Direct
0.000 0.000 0.000 Cs
0.500 0.500 0.500 Fe
0.000 0.500 0.500 Sb
0.500 0.000 0.500 Sb
0.500 0.500 0.000 Te
```

- Electronic total energy: -33.4924 eV per atom
- Space-group type: No. 123
- DOS(E_F): 4.1 states/eV/cell


Record 3
First-principles (meta-GGA SCAN) data for a crystal of Cs3FeSi relaxed with PBEsol, as listed in Alexandria.

```
Cs3FeSi
1.0
6.218 0.000 0.000
0.000 6.218 0.000
0.000 0.000 6.218
Cs Fe Si
3 1 1
Direct
0.000 0.000 0.500 Cs
0.000 0.500 0.000 Cs
0.500 0.000 0.000 Cs
0.000 0.000 0.000 Fe
0.500 0.500 0.500 Si
```

- Electronic total energy: -27.2634 eV per atom
- Space-group type: No. 221
- DOS(E_F): 6.7 states/eV/cell